No. 1
MnNbCu2Pb | PBE | optimized geometry Values from VASP.

Fermi-level density of states   4.735 states/eV/cell
Symmetry   P4/mmm
V   123 Å³/cell
ΔH_f (0 K)   1.456 eV per atom

```
&SYSTEM
  ibrav = 0, nat = 5, ntyp = 4
/
ATOMIC_SPECIES
Nb 92.91 Nb.upf
Mn 54.94 Mn.upf
Pb 207.20 Pb.upf
Cu 63.55 Cu.upf
CELL_PARAMETERS angstrom
-0.920 3.372 -3.248
-4.749 -2.329 -1.073
-2.072 2.675 3.364
ATOMIC_POSITIONS angstrom
Nb -2.374 -1.164 -0.537
Mn -3.870 1.859 -0.479
Pb 0.000 0.000 0.000
Cu -0.460 1.686 -1.624
Cu -1.036 1.338 1.682
```

***

No. 2
MnNbCuPt2 | PBE | optimized geometry Values from VASP.

Fermi-level density of states   7.484 states/eV/cell
Symmetry   P4/mmm
V   91 Å³/cell
ΔH_f (0 K)   1.291 eV per atom

```
&SYSTEM
  ibrav = 0, nat = 5, ntyp = 4
/
ATOMIC_SPECIES
Pt 195.08 Pt.upf
Mn 54.94 Mn.upf
Nb 92.91 Nb.upf
Cu 63.55 Cu.upf
CELL_PARAMETERS angstrom
-0.126 2.482 3.767
2.801 -2.883 1.993
3.523 2.408 -1.469
ATOMIC_POSITIONS angstrom
Pt 1.762 1.204 -0.734
Pt -0.063 1.241 1.884
Mn 3.099 1.004 2.146
Nb 1.401 -1.441 0.996
Cu 0.000 0.000 0.000
```

***

No. 3
MnNb2CuPt | PBE | optimized geometry Values from VASP.

Fermi-level density of states   4.840 states/eV/cell
Symmetry   P4/mmm
V   88 Å³/cell
ΔH_f (0 K)   0.697 eV per atom

```
&SYSTEM
  ibrav = 0, nat = 5, ntyp = 4
/
ATOMIC_SPECIES
Pt 195.08 Pt.upf
Nb 92.91 Nb.upf
Cu 63.55 Cu.upf
Mn 54.94 Mn.upf
CELL_PARAMETERS angstrom
4.469 0.000 0.000
0.000 4.400 0.000
0.000 0.000 4.469
ATOMIC_POSITIONS angstrom
Pt 2.234 2.200 2.234
Nb 2.234 0.000 0.000
Nb 0.000 0.000 2.234
Cu 0.000 2.200 0.000
Mn 0.000 0.000 0.000
```

***

No. 4
MnNbCuS4 | PBE | optimized geometry Values from VASP.

Fermi-level density of states   7.803 states/eV/cell
Symmetry   Imma
V   254 Å³/cell
Formation energy (no corrections)   -0.678 eV/atom

```
&SYSTEM
  ibrav = 0, nat = 14, ntyp = 4
/
ATOMIC_SPECIES
Cu 63.55 Cu.upf
S 32.06 S.upf
Mn 54.94 Mn.upf
Nb 92.91 Nb.upf
CELL_PARAMETERS angstrom
6.935 0.000 0.000
3.468 6.196 0.000
3.468 1.888 5.901
ATOMIC_POSITIONS angstrom
Cu 6.935 4.007 5.187
Cu 6.935 4.077 0.715
S 10.403 6.025 4.358
S 5.099 5.140 1.491
S 5.099 2.943 4.410
S 3.468 2.059 1.543
S 8.772 5.140 1.491
S 8.772 2.943 4.410
S 6.935 1.945 1.460
S 6.935 6.139 4.441
Mn 3.468 4.042 2.951
Mn 0.000 0.000 0.000
Nb 1.734 0.944 2.951
Nb 5.202 0.944 2.951
```

***

No. 5
TiMnNbCu | PBE | optimized geometry Values from VASP.

Fermi-level density of states   4.550 states/eV/cell
Symmetry   F-43m
V   58 Å³/cell
ΔH_f (0 K)   -0.040 eV per atom

```
&SYSTEM
  ibrav = 0, nat = 4, ntyp = 4
/
ATOMIC_SPECIES
Nb 92.91 Nb.upf
Mn 54.94 Mn.upf
Ti 47.87 Ti.upf
Cu 63.55 Cu.upf
CELL_PARAMETERS angstrom
4.336 0.000 0.000
2.168 3.755 0.000
2.168 1.252 3.541
ATOMIC_POSITIONS angstrom
Nb 6.505 3.755 2.656
Mn 0.000 0.000 0.000
Ti 2.168 1.252 0.885
Cu 4.336 2.504 1.770
```

***

No. 6
MnNb2ZnCu | PBE | optimized geometry Values from VASP.

Fermi-level density of states   5.712 states/eV/cell
Symmetry   P4/mmm
V   92 Å³/cell
ΔH_f (0 K)   0.833 eV per atom

```
&SYSTEM
  ibrav = 0, nat = 5, ntyp = 4
/
ATOMIC_SPECIES
Nb 92.91 Nb.upf
Cu 63.55 Cu.upf
Mn 54.94 Mn.upf
Zn 65.41 Zn.upf
CELL_PARAMETERS angstrom
-2.473 3.114 -2.134
-2.926 0.027 3.430
2.382 3.267 2.006
ATOMIC_POSITIONS angstrom
Nb -1.237 1.557 -1.067
Nb 1.191 1.633 1.003
Cu -1.463 0.014 1.715
Mn 0.000 0.000 0.000
Zn -1.508 3.204 1.651
```

***

No. 7
NdMnCu | PBE | optimized geometry Values from VASP.

Fermi-level density of states   6.093 states/eV/cell
Symmetry   C2/m
V   122 Å³/cell
ΔH_f (0 K)   0.217 eV per atom

```
&SYSTEM
  ibrav = 0, nat = 6, ntyp = 3
/
ATOMIC_SPECIES
Cu 63.55 Cu.upf
Mn 54.94 Mn.upf
Nd 144.24 Nd.upf
CELL_PARAMETERS angstrom
4.014 0.000 0.000
-2.007 5.412 0.402
0.000 -1.482 5.492
ATOMIC_POSITIONS angstrom
Cu 0.000 1.640 2.181
Cu 2.007 2.291 3.713
Mn 0.000 3.719 3.514
Mn 2.007 0.211 2.380
Nd 0.000 -0.022 4.610
Nd 2.007 3.953 1.285
```

***

No. 8
Nd2Mn2Cu15 | PBE | optimized geometry Values from VASP.

Fermi-level density of states   11.225 states/eV/cell
Symmetry   R-3m
V   274 Å³/cell
ΔH_f (0 K)   -0.056 eV per atom

```
&SYSTEM
  ibrav = 0, nat = 19, ntyp = 3
/
ATOMIC_SPECIES
Nd 144.24 Nd.upf
Mn 54.94 Mn.upf
Cu 63.55 Cu.upf
CELL_PARAMETERS angstrom
-1.972 -5.329 3.244
5.109 -0.423 4.066
-2.733 3.094 5.077
ATOMIC_POSITIONS angstrom
Nd 0.265 -1.747 8.137
Nd 0.139 -0.912 4.249
Mn 0.365 -2.399 11.177
Mn 0.039 -0.260 1.210
Cu -0.986 -2.665 1.622
Cu 1.635 -3.291 5.556
Cu -2.511 0.639 4.542
Cu -1.231 0.633 6.830
Cu -2.299 -1.527 6.063
Cu -0.448 2.069 4.782
Cu 0.091 -3.900 3.483
Cu 1.254 0.934 6.475
Cu -2.194 -2.875 3.778
Cu 2.703 -1.132 6.323
Cu -1.366 1.547 2.538
Cu -0.850 -3.593 5.911
Cu 2.555 -0.212 2.033
Cu 2.824 0.602 4.360
Cu 3.045 -1.853 3.826
```

***

No. 9
Nd2MnCu | PBE | optimized geometry Values from VASP.

Fermi-level density of states   4.244 states/eV/cell
Symmetry   P4/mmm
Polymorph energy (0 for the lowest one)   0 meV per atom
V   95 Å³/cell
ΔH_f (0 K)   0.074 eV per atom

```
&SYSTEM
  ibrav = 0, nat = 4, ntyp = 3
/
ATOMIC_SPECIES
Nd 144.24 Nd.upf
Cu 63.55 Cu.upf
Mn 54.94 Mn.upf
CELL_PARAMETERS angstrom
-2.051 -2.360 -1.782
2.546 -0.306 -2.525
3.074 -5.518 3.769
ATOMIC_POSITIONS angstrom
Nd 2.320 -4.164 2.844
Nd 0.754 -1.354 0.925
Cu 0.248 -1.333 -2.153
Mn 1.784 -4.092 -0.269
```

***

No. 10
Nd2MnCu12Ni3 | PBE | optimized geometry Values from VASP.

Fermi-level density of states   7.274 states/eV/cell
Symmetry   R-3m
V   260 Å³/cell
ΔH_f (0 K)   0.108 eV per atom

```
&SYSTEM
  ibrav = 0, nat = 18, ntyp = 4
/
ATOMIC_SPECIES
Cu 63.55 Cu.upf
Ni 58.69 Ni.upf
Mn 54.94 Mn.upf
Nd 144.24 Nd.upf
CELL_PARAMETERS angstrom
-5.648 -0.531 -3.019
-2.278 -4.852 3.545
-3.375 3.609 4.108
ATOMIC_POSITIONS angstrom
Cu -7.279 -3.306 1.561
Cu -4.022 1.532 3.073
Cu -6.091 -1.142 5.286
Cu -7.852 1.117 1.855
Cu -6.223 0.765 3.698
Cu -5.078 -2.539 0.935
Cu -5.540 1.022 1.173
Cu -5.210 -0.632 -0.652
Cu -5.761 -2.796 3.461
Cu -7.180 -0.977 0.698
Cu -4.121 -0.796 3.936
Cu -3.449 -2.890 2.779
Ni -1.687 1.805 2.054
Ni -1.139 -2.426 1.772
Ni -2.824 -0.266 -1.510
Mn 0.000 0.000 0.000
Nd -2.857 -0.448 1.171
Nd -8.444 -1.325 3.462
```

***

No. 11
Nd2MnCu3Ni12 | PBE | optimized geometry Values from VASP.

Fermi-level density of states   20.196 states/eV/cell
Symmetry   R-3m
V   265 Å³/cell
ΔH_f (0 K)   0.239 eV per atom

```
&SYSTEM
  ibrav = 0, nat = 18, ntyp = 4
/
ATOMIC_SPECIES
Ni 58.69 Ni.upf
Nd 144.24 Nd.upf
Cu 63.55 Cu.upf
Mn 54.94 Mn.upf
CELL_PARAMETERS angstrom
8.952 1.745 1.238
5.938 6.923 1.238
5.938 3.457 6.124
ATOMIC_POSITIONS angstrom
Ni 6.630 1.835 1.302
Ni 11.089 6.455 6.012
Ni 15.959 9.289 4.445
Ni 15.959 7.266 7.298
Ni 8.563 6.337 4.495
Ni 4.870 2.835 4.155
Ni 11.089 7.808 4.104
Ni 12.265 5.786 4.104
Ni 14.199 10.289 7.298
Ni 9.740 4.316 4.495
Ni 9.740 5.669 2.588
Ni 4.870 4.858 1.302
Nd 13.618 7.927 5.622
Nd 7.211 4.197 2.977
Cu 4.476 0.872 0.619
Cu 2.969 3.461 0.619
Cu 2.969 1.728 3.062
Mn 0.000 0.000 0.000
```

***

- V of number 5 (TiMnNbCu)?
  58 Å³/cell

***

- Which of these has the lowest Fermi-level density of states?
  Nd2MnCu

***

What did the sixth record say?
MnNb2ZnCu | PBE | optimized geometry Values from VASP.

Fermi-level density of states   5.712 states/eV/cell
Symmetry   P4/mmm
V   92 Å³/cell
ΔH_f (0 K)   0.833 eV per atom

```
&SYSTEM
  ibrav = 0, nat = 5, ntyp = 4
/
ATOMIC_SPECIES
Nb 92.91 Nb.upf
Cu 63.55 Cu.upf
Mn 54.94 Mn.upf
Zn 65.41 Zn.upf
CELL_PARAMETERS angstrom
-2.473 3.114 -2.134
-2.926 0.027 3.430
2.382 3.267 2.006
ATOMIC_POSITIONS angstrom
Nb -1.237 1.557 -1.067
Nb 1.191 1.633 1.003
Cu -1.463 0.014 1.715
Mn 0.000 0.000 0.000
Zn -1.508 3.204 1.651
```